A relaxed Th3SnIr crystal, computed with PBE.

```
Th3SnIr
1.0
8.100 0.000 0.000
0.000 4.544 0.000
-3.587 0.000 7.842
Th Sn Ir
6 2 2
direct
0.036 0.250 0.220 Th
0.324 0.750 0.592 Th
0.336 0.250 0.936 Th
0.664 0.750 0.064 Th
0.676 0.250 0.408 Th
0.964 0.750 0.780 Th
0.329 0.750 0.206 Sn
0.671 0.250 0.794 Sn
0.085 0.250 0.609 Ir
0.915 0.750 0.391 Ir
```

Size of the total moment, μB per atom: 0.000
E_tot, eV per atom: -7.62
Energy of formation from the pure elements, eV/atom: -0.5919
Space group: P2_1/m
Density of states at the Fermi level, states/eV/cell: 10.9

A relaxed Pu2Ga12Fe crystal, computed with PBE.

```
Pu2Ga12Fe
1.0
5.964 0.000 0.000
0.000 5.964 0.000
0.000 0.000 15.700
Pu Ga Fe
4 24 2
direct
0.250 0.750 0.240 Pu
0.250 0.750 0.760 Pu
0.750 0.250 0.240 Pu
0.750 0.250 0.760 Pu
0.000 0.000 0.085 Ga
0.000 0.000 0.915 Ga
0.000 0.500 0.085 Ga
0.000 0.500 0.915 Ga
0.079 0.579 0.429 Ga
0.079 0.921 0.571 Ga
0.250 0.250 0.188 Ga
0.250 0.250 0.342 Ga
0.250 0.250 0.658 Ga
0.250 0.250 0.812 Ga
0.421 0.579 0.571 Ga
0.421 0.921 0.429 Ga
0.500 0.000 0.085 Ga
0.500 0.000 0.915 Ga
0.500 0.500 0.085 Ga
0.500 0.500 0.915 Ga
0.579 0.079 0.571 Ga
0.579 0.421 0.429 Ga
0.750 0.750 0.188 Ga
0.750 0.750 0.342 Ga
0.750 0.750 0.658 Ga
0.750 0.750 0.812 Ga
0.921 0.079 0.429 Ga
0.921 0.421 0.571 Ga
0.250 0.750 0.000 Fe
0.750 0.250 0.000 Fe
```

Size of the total moment, μB per atom: 0.644
E_tot, eV per atom: -5.12
Energy of formation from the pure elements, eV/atom: -0.2258
Space group: P4/nbm
Density of states at the Fermi level, states/eV/cell: 49.0

A relaxed NaAg2Sb crystal, computed with PBE.

```
NaAg2Sb
1.0
4.500 0.000 0.000
0.000 4.500 0.000
0.000 0.000 4.173
Na Ag Sb
1 2 1
direct
0.000 0.000 0.000 Na
0.000 0.500 0.500 Ag
0.500 0.000 0.500 Ag
0.500 0.500 0.000 Sb
```

Size of the total moment, μB per atom: 0.000
E_tot, eV per atom: -2.85
Formation energy without anion corrections, eV/f.u.: -0.27
Space group: P4/mmm
Density of states at the Fermi level, states/eV/cell: 1.1